[1]
Here is an optimized crystal structure of PuNpPb2 from Alexandria. Energies are from PBE.

Calculated values
energy above the most stable polymorph in this dataset = 0.0 meV per atom
V = 27.72 A^3/atom
formation enthalpy at 0 K = 0.08 eV per atom

Lattice parameters (Å, degrees): 4.1805 4.1805 6.3442 90.00 90.00 90.00
Site moments in Bohr magnetons follow the coordinates.
Fractional positions:
Pb 0.0000 0.0000 0.7486  -0.05
Pb 0.0000 0.0000 0.2514  -0.05
Np 0.5000 0.5000 0.5000  4.22
Pu 0.5000 0.5000 0.0000  5.58

=====

[2]
Here is an optimized crystal structure of Li2AcUF8 from Alexandria. Energies are from PBE.

Calculated values
V = 14.63 A^3/atom
final energy = -6.351 eV per atom

Lattice parameters (Å, degrees): 5.4319 5.4319 7.0822 112.55 112.55 90.00
Site moments in Bohr magnetons follow the coordinates.
Fractional positions:
Ac 0.0000 0.0000 0.0000  0.01
Li 0.2500 0.7500 0.5000  0.00
Li 0.5000 0.5000 0.0000  0.00
F 0.6903 0.2729 0.8363  0.00
F 0.1460 0.5634 0.8363  0.00
F 0.0538 0.9864 0.6535  0.00
F 0.3330 0.9462 0.3465  0.00
F 0.7271 0.8540 0.1637  0.00
F 0.4366 0.3097 0.1637  0.00
F 0.0136 0.4003 0.3465  0.00
F 0.5997 0.6670 0.6535  0.00
U 0.7500 0.2500 0.5000  2.90

=====

[3]
Here is an optimized crystal structure of Mn2ReRu from Alexandria. Energies are from PBE.

Calculated values
V = 12.74 A^3/atom
formation enthalpy at 0 K = 0.04 eV per atom

Lattice parameters (Å, degrees): 4.0170 2.6471 4.9724 74.50 90.00 90.00
Site moments in Bohr magnetons follow the coordinates.
Fractional positions:
Re 0.0000 0.4476 0.4787  0.02
Mn 0.0000 0.1830 0.0096  0.64
Mn 0.5000 0.0694 0.2358  -0.58
Ru 0.5000 0.8001 0.7758  -0.03

=====

[4]
Here is an optimized crystal structure of P2AuBr from Alexandria. Energies are from PBE.

Calculated values
energy above the most stable polymorph in this dataset = 365.0 meV per atom
V = 19.43 A^3/atom

Lattice parameters (Å, degrees): 4.6728 4.6693 4.6698 67.28 76.84 112.74
Fractional positions:
Au 0.0000 0.5000 0.5000
P 0.5000 0.0000 0.5000
P 0.0000 0.0000 0.0000
Br 0.5000 0.5000 0.0000

=====

[5]
Here is an optimized crystal structure of BaBePt from Alexandria. Energies are from PBE.

Calculated values
energy above the most stable polymorph in this dataset = 15.2 meV per atom
V = 27.42 A^3/atom
formation enthalpy at 0 K = -0.55 eV per atom

Lattice parameters (Å, degrees): 4.1225 4.1225 9.6817 90.00 90.00 90.00
Fractional positions:
Pt 0.0000 0.5000 0.1115
Pt 0.5000 0.0000 0.8885
Be 0.5000 0.5000 0.0000
Be 0.0000 0.0000 0.0000
Ba 0.0000 0.5000 0.7212
Ba 0.5000 0.0000 0.2788

=====

[6]
Here is an optimized crystal structure of LiC4 from Alexandria. Energies are from PBE.

Calculated values
energy above the most stable polymorph in this dataset = 538.0 meV per atom
V = 6.24 A^3/atom
formation enthalpy at 0 K = 1.66 eV per atom

Lattice parameters (Å, degrees): 3.7492 3.7492 3.7492 128.72 128.72 75.46
Fractional positions:
C 0.6345 0.6345 0.0000
C 0.3655 0.3655 0.0000
C 0.2500 0.7500 0.5000
C 0.7500 0.2500 0.5000
Li 0.0000 0.0000 0.0000

=====

[7]
Here is an optimized crystal structure of InTcHg2 from Alexandria. Energies are from PBE.

Calculated values
V = 20.71 A^3/atom
formation enthalpy at 0 K = 0.46 eV per atom

Lattice parameters (Å, degrees): 5.0589 5.9875 3.1688 73.98 91.55 115.44
Site moments in Bohr magnetons follow the coordinates.
Fractional positions:
Hg 0.0000 0.0000 0.0000  -0.01
Hg 0.5000 0.0000 0.5000  -0.01
Tc 0.5000 0.5000 0.0000  1.40
In 0.0000 0.5000 0.5000  -0.04

=====

[8]
Here is an optimized crystal structure of Zr2InTc from Alexandria. Energies are from PBE.

Calculated values
energy above the most stable polymorph in this dataset = 192.3 meV per atom
V = 20.72 A^3/atom
formation enthalpy at 0 K = -0.18 eV per atom

Lattice parameters (Å, degrees): 3.1193 3.1193 9.0708 90.00 90.00 110.14
Fractional positions:
In 0.5000 0.5000 0.2500
Tc 0.5000 0.5000 0.7500
Zr 0.0000 0.0000 0.5329
Zr 0.0000 0.0000 0.9671

=====

[9]
Here is an optimized crystal structure of BaLi3Mg from Alexandria. Energies are from PBE.

Calculated values
energy above the most stable polymorph in this dataset = 146.0 meV per atom
V = 32.53 A^3/atom
formation enthalpy at 0 K = 0.15 eV per atom

Lattice parameters (Å, degrees): 5.4585 5.4585 5.4585 90.00 90.00 90.00
Fractional positions:
Li 0.5000 0.0000 0.0000
Li 0.0000 0.0000 0.5000
Li 0.0000 0.5000 0.0000
Mg 0.0000 0.0000 0.0000
Ba 0.5000 0.5000 0.5000

=====

[10]
Here is an optimized crystal structure of Sc2GeI from Alexandria. Energies are from PBE.

Calculated values
energy above the most stable polymorph in this dataset = 0.0 meV per atom
V = 30.95 A^3/atom

Lattice parameters (Å, degrees): 8.4697 8.4697 8.4697 28.69 28.69 28.69
Fractional positions:
I 0.0000 0.0000 0.0000
Sc 0.8830 0.8830 0.8830
Sc 0.1170 0.1170 0.1170
Ge 0.5000 0.5000 0.5000

=====

[11]
Here is an optimized crystal structure of LaGa4Rh4 from Alexandria. Energies are from PBE.

Calculated values
V = 18.48 A^3/atom
formation enthalpy at 0 K = -0.63 eV per atom

Lattice parameters (Å, degrees): 4.8940 8.2433 8.2433 90.00 90.00 90.00
Fractional positions:
Rh 0.5880 0.8589 0.6196
Rh 0.4120 0.6196 0.1411
Rh 0.0880 0.8804 0.3589
Rh 0.5880 0.1411 0.3804
Rh 0.9120 0.3589 0.1196
Rh 0.4120 0.3804 0.8589
Rh 0.0880 0.1196 0.6411
Rh 0.9120 0.6411 0.8804
Ga 0.5764 0.8540 0.3052
Ga 0.9236 0.6460 0.1948
Ga 0.4236 0.6948 0.8540
Ga 0.5764 0.1460 0.6948
Ga 0.4236 0.3052 0.1460
Ga 0.9236 0.3540 0.8052
Ga 0.0764 0.1948 0.3540
Ga 0.0764 0.8052 0.6460
La 0.5000 0.5000 0.5000
La 0.0000 0.0000 0.0000

=====

[12]
Here is an optimized crystal structure of Pr3Ho2Tm6Th from Alexandria. Energies are from PBE.

Calculated values
V = 31.77 A^3/atom
formation enthalpy at 0 K = 0.02 eV per atom

Lattice parameters (Å, degrees): 6.1756 6.1756 11.7267 95.05 95.05 120.00
Fractional positions:
Tm 0.2475 0.2475 0.7545
Tm 0.5879 0.9177 0.7545
Tm 0.4121 0.0823 0.2455
Tm 0.9177 0.5879 0.7545
Tm 0.0823 0.4121 0.2455
Tm 0.7525 0.7525 0.2455
Ho 0.6668 0.3332 0.0000
Ho 0.3332 0.6668 0.0000
Pr 0.5000 0.5000 0.5000
Pr 0.8328 0.1672 0.5000
Pr 0.1672 0.8328 0.5000
Th 0.0000 0.0000 0.0000

=====

What did the tenth record say?
Here is an optimized crystal structure of Sc2GeI from Alexandria. Energies are from PBE.

Calculated values
energy above the most stable polymorph in this dataset = 0.0 meV per atom
V = 30.95 A^3/atom

Lattice parameters (Å, degrees): 8.4697 8.4697 8.4697 28.69 28.69 28.69
Fractional positions:
I 0.0000 0.0000 0.0000
Sc 0.8830 0.8830 0.8830
Sc 0.1170 0.1170 0.1170
Ge 0.5000 0.5000 0.5000

=====

- The lowest V belongs to which entry?
  LiC4

=====

- The lowest V belongs to which entry?
  LiC4

=====

- Number 11 is which compound?
  LaGa4Rh4